## CsRbN2O (PBE)

Data for a relaxed structure of CsRbN2O.

The structure in CIF format:
```
data_CsRbN2O
_chemical_formula_sum 'Cs1 Rb1 N2 O1'
_cell_length_a 5.5467
_cell_length_b 5.5467
_cell_length_c 5.1222
_cell_angle_alpha 90.00
_cell_angle_beta 90.00
_cell_angle_gamma 90.00
_space_group_name_H-M_alt 'P 4/m m m'
_space_group_IT_number 123
_space_group_name_Hall '-P 4 2'
loop_
_atom_site_label
_atom_site_type_symbol
_atom_site_fract_x
_atom_site_fract_y
_atom_site_fract_z
Cs1 Cs 0.0000 0.0000 0.0000
Rb1 Rb 0.5000 0.5000 0.5000
N1 N 0.0000 0.5000 0.5000
O1 O 0.5000 0.5000 0.0000
```

Computed properties:
The calculation puts the formation energy without anion corrections at 1395 meV/atom.